Entry 1:
# Ba2NaIn2 (PBE, relaxed)
data_Ba2NaIn2
_chemical_formula_sum 'Ba4 Na2 In4'
_symmetry_space_group_name_H-M 'C m m m'
_symmetry_Int_Tables_number 65
_symmetry_space_group_name_Hall '-C 2 2'
_cell_length_a 5.1920
_cell_length_b 18.1202
_cell_length_c 4.3389
_cell_angle_alpha 90.00
_cell_angle_beta 90.00
_cell_angle_gamma 90.00
loop_
_atom_site_label
_atom_site_fract_x
_atom_site_fract_y
_atom_site_fract_z
_atom_site_occupancy
Ba1 0.0000 0.1332 0.0000 1
Na1 0.0000 0.5000 0.5000 1
In1 0.0000 0.2983 0.5000 1
# magnetic moment = 0.00 μB per formula unit
# DFT formation energy = -0.298 eV/atom
# polymorph energy (0 for the lowest one) = 0.0 meV/atom



Entry 2:
# Ba2NaIn (PBE, relaxed)
data_Ba2NaIn
_chemical_formula_sum 'Ba6 Na3 In3'
_symmetry_space_group_name_H-M 'R 3 m'
_symmetry_Int_Tables_number 160
_symmetry_space_group_name_Hall 'R 3 -2"'
_cell_length_a 4.4240
_cell_length_b 4.4240
_cell_length_c 34.8317
_cell_angle_alpha 90.00
_cell_angle_beta 90.00
_cell_angle_gamma 120.00
loop_
_atom_site_label
_atom_site_fract_x
_atom_site_fract_y
_atom_site_fract_z
_atom_site_occupancy
Ba1 0.0000 0.0000 0.0000 1
Ba2 0.0000 0.0000 0.1903 1
Na1 0.0000 0.0000 0.7614 1
In1 0.0000 0.0000 0.5951 1
# magnetic moment = 0.00 μB per formula unit
# DFT formation energy = -0.092 eV/atom



Entry 3:
# BaNa3In3 (PBE, relaxed)
data_BaNa3In3
_chemical_formula_sum 'Ba2 Na6 In6'
_symmetry_space_group_name_H-M 'P m -3 n'
_symmetry_Int_Tables_number 223
_symmetry_space_group_name_Hall '-P 4n 2 3'
_cell_length_a 8.2954
_cell_length_b 8.2954
_cell_length_c 8.2954
_cell_angle_alpha 90.00
_cell_angle_beta 90.00
_cell_angle_gamma 90.00
loop_
_atom_site_label
_atom_site_fract_x
_atom_site_fract_y
_atom_site_fract_z
_atom_site_occupancy
Ba1 0.0000 0.0000 0.0000 1
Na1 0.0000 0.2500 0.5000 1
In1 0.0000 0.5000 0.2500 1
# magnetic moment = 0.00 μB per formula unit
# DFT formation energy = 0.245 eV/atom



DFT formation energy of number 2 (Ba2NaIn)?
-0.092 eV/atom



Number 2 is which compound?
Ba2NaIn



What did the first record say?
# Ba2NaIn2 (PBE, relaxed)
data_Ba2NaIn2
_chemical_formula_sum 'Ba4 Na2 In4'
_symmetry_space_group_name_H-M 'C m m m'
_symmetry_Int_Tables_number 65
_symmetry_space_group_name_Hall '-C 2 2'
_cell_length_a 5.1920
_cell_length_b 18.1202
_cell_length_c 4.3389
_cell_angle_alpha 90.00
_cell_angle_beta 90.00
_cell_angle_gamma 90.00
loop_
_atom_site_label
_atom_site_fract_x
_atom_site_fract_y
_atom_site_fract_z
_atom_site_occupancy
Ba1 0.0000 0.1332 0.0000 1
Na1 0.0000 0.5000 0.5000 1
In1 0.0000 0.2983 0.5000 1
# magnetic moment = 0.00 μB per formula unit
# DFT formation energy = -0.298 eV/atom
# polymorph energy (0 for the lowest one) = 0.0 meV/atom